Entry from Alexandria: a relaxed HfV2NiO8 crystal (PBE+U).

Calculated values
N(E_F)   0.0 states/eV/f.u.
SG   P-3m1, No. 164
DFT total energy   -7.672 eV/atom
Spin magnetization   1.983 μB per cell

Structure (POSCAR):
```
HfV2NiO8
1.0
-3.4325 0.4584 -4.5685
3.7115 -4.3532 0.3713
-3.9143 -3.1132 2.6287
O V Ni Hf
8 2 1 1
Direct
0.1585 0.8415 0.7597
0.3333 0.6667 0.3872
0.3170 0.1585 0.2403
0.8415 0.6830 0.2403
0.6830 0.8415 0.7597
0.6667 0.3333 0.6128
0.8415 0.1585 0.2403
0.1585 0.3170 0.7597
0.6667 0.3333 0.3262
0.3333 0.6667 0.6738
0.0000 0.0000 0.5000
0.0000 0.0000 0.0000
```